Record 1
Computed, not measured: KSb2Se4 after structural relaxation at the PBE level of DFT.

Lattice parameters (Å, degrees): 7.6195 8.5575 8.2039 109.55 105.23 100.86
With the nearest neighbours (Å) after each atom.
Sites, in units of the cell vectors:
Se1 0.8735 0.1994 0.2975  2 Sb 2.64-2.69
Se2 0.3985 0.1736 0.4146  2 Sb 2.65-2.75
Se3 0.9283 0.6119 0.1726  1 Se 2.43
Se4 0.4184 0.2173 0.9308  1 Sb 2.64
Se5 0.9583 0.6198 0.6944  2 Sb 2.67-2.80
Se6 0.1569 0.4628 0.1009  1 Se 2.43
Se7 0.4643 0.5993 0.7960  2 Sb 2.62-2.65
Se8 0.7209 0.8535 0.4888  1 Sb 2.55
Sb1 0.5662 0.9593 0.2468  3 Se 2.55-2.65
Sb2 0.1337 0.3878 0.7446  3 Se 2.65-2.72
Sb3 0.7082 0.4544 0.3261  3 Se 2.69-2.80
Sb4 0.6329 0.3568 0.7789  3 Se 2.62-2.75
K1 0.2968 0.8325 0.5617  6 Se 3.30-3.55
K2 0.9930 0.0216 0.9462  5 Se 3.23-3.41

Calculated values
excess energy over the best structure of this formula in the dataset = 0.038 eV/atom
volume = 33.10 A^3/atom

***

Record 2
Computed, not measured: Tb8ScAl2 after structural relaxation at the PBE level of DFT.

Lattice parameters (Å, degrees): 5.5297 8.5337 8.5337 118.29 101.98 101.98
With the nearest neighbours (Å) after each atom.
Sites, in units of the cell vectors:
Tb1 0.1129 0.3247 0.0900  2 Al 3.08-3.23, 2 Tb 3.33-3.44
Tb2 0.1129 0.0900 0.3247  2 Al 3.08-3.23, 2 Tb 3.33-3.44
Tb3 0.5000 0.2181 0.7819  2 Al 3.05, 1 Sc 3.20
Tb4 0.7028 0.3944 0.3944  1 Tb 3.05, 1 Sc 3.17, 2 Al 3.22
Tb5 0.8871 0.6753 0.9100  2 Al 3.08-3.23, 2 Tb 3.33-3.44
Tb6 0.5000 0.7819 0.2181  2 Al 3.05, 1 Sc 3.20
Tb7 0.8871 0.9100 0.6753  2 Al 3.08-3.23, 2 Tb 3.33-3.44
Tb8 0.2972 0.6056 0.6056  1 Tb 3.05, 1 Sc 3.17, 2 Al 3.22
Sc1 0.5000 0.0000 0.0000  4 Tb 3.17-3.20
Al1 0.0000 0.3066 0.6934  8 Tb 3.05-3.23
Al2 0.0000 0.6934 0.3066  8 Tb 3.05-3.23

Calculated values
D(E_F) = 15.0 states/eV/f.u.
volume = 29.48 A^3/atom
DFT total energy = -4.6218 eV/atom

***

Computed values of ρ (unit: g cm⁻³) for the preceding records, in sequence: 4.29 7.02.